# BaAl3Si3 | Alexandria via LeMat-Bulk | PBE | relaxed
data_BaAl3Si3
_chemical_formula_sum 'Ba2 Al6 Si6'
_symmetry_space_group_name_H-M 'P 1'
_symmetry_Int_Tables_number 1
_cell_length_a 7.019
_cell_length_b 7.019
_cell_length_c 7.019
_cell_angle_alpha 90.00
_cell_angle_beta 90.00
_cell_angle_gamma 90.00
loop_
_symmetry_equiv_pos_as_xyz
'x,y,z'
loop_
_atom_site_label
_atom_site_fract_x
_atom_site_fract_y
_atom_site_fract_z
_atom_site_occupancy
Ba1 0.000 0.000 0.000 1
Ba2 0.500 0.500 0.500 1
Al1 0.000 0.250 0.500 1
Al2 0.000 0.750 0.500 1
Al3 0.250 0.500 0.000 1
Al4 0.500 0.000 0.250 1
Al5 0.500 0.000 0.750 1
Al6 0.750 0.500 0.000 1
Si1 0.000 0.500 0.250 1
Si2 0.000 0.500 0.750 1
Si3 0.250 0.000 0.500 1
Si4 0.500 0.250 0.000 1
Si5 0.500 0.750 0.000 1
Si6 0.750 0.000 0.500 1
# SG: Pm-3n
# Energy relative to the elements, uncorrected: -0.096 eV per atom
# DOS(E_F): 5.1 states/eV/cell
# Spin magnetization: 0.00 μB per cell